A plane-wave DFT calculation with PBE-GGA was carried out for Ho5Sb2Te after structural relaxation.

The structure belongs to space group Cmcm (No. 63); the cell edges are 6.0384, 12.5627 and 13.4916 Å and the angles 90.00°, 90.00° and 90.00°. Symmetry generates all atoms from Ho at (0.0000, 0.0530, 0.1120), Ho at (0.0000, 0.3465, 0.7500), Ho at (0.0000, 0.3767, 0.0606), Sb at (0.0000, 0.1842, 0.5802) and Te at (0.0000, 0.2420, 0.2500).

For the formation energy from raw total energies, the calculation gives -0.6242 eV per atom. The calculation puts the density of states at the Fermi level at 6.550 states/eV/f.u.